1.
KCo2Pt | Alexandria via LeMat-Bulk | GGA-PBE | relaxed; N(E_F) = 3.47 states/eV/f.u.; spin magnetization = 3.752 μB/f.u.; E = -0.180 Ha/atom; symmetry = Cm, No. 8
1.0
8.2147 0.0000 0.0000
0.0000 2.7374 0.0000
-0.7880 0.0000 7.0279
K Co Pt
2 4 2
Direct
0.0000 0.0000 0.0000
0.5000 0.5000 0.0000
0.0003 0.5000 0.4697
0.2776 0.5000 0.3709
0.5003 0.0000 0.4697
0.7776 0.0000 0.3709
0.2280 0.0000 0.6592
0.7280 0.5000 0.6592

=====

2.
KCo4Pt | Alexandria via LeMat-Bulk | GGA-PBE | relaxed; N(E_F) = 8.12 states/eV/f.u.; spin magnetization = 7.794 μB/f.u.; E = -0.196 Ha/atom; symmetry = F-43m, No. 216
1.0
0.0000 3.5288 3.5288
3.5288 0.0000 3.5288
3.5288 3.5288 0.0000
K Co Pt
1 4 1
Direct
0.0000 0.0000 0.0000
0.3756 0.3756 0.3756
0.3756 0.3756 0.8733
0.3756 0.8733 0.3756
0.8733 0.3756 0.3756
0.7500 0.7500 0.7500

=====

3.
KCo2Pt2 | Alexandria via LeMat-Bulk | GGA-PBE | relaxed; N(E_F) = 6.78 states/eV/f.u.; spin magnetization = 4.519 μB/f.u.; E = -0.196 Ha/atom; symmetry = P4/mbm, No. 127
1.0
7.8342 0.0000 0.0000
0.0000 7.8342 0.0000
0.0000 0.0000 2.6904
K Co Pt
2 4 4
Direct
0.0000 0.0000 0.0000
0.5000 0.5000 0.0000
0.1131 0.3869 0.0000
0.3869 0.8869 0.0000
0.6131 0.1131 0.0000
0.8869 0.6131 0.0000
0.1732 0.6732 0.5000
0.3268 0.1732 0.5000
0.6732 0.8268 0.5000
0.8268 0.3268 0.5000

=====

4.
KCo3Pt | Alexandria via LeMat-Bulk | GGA-PBE | relaxed; N(E_F) = 6.24 states/eV/f.u.; spin magnetization = 6.646 μB/f.u.; E = -0.173 Ha/atom; symmetry = Pm-3m, No. 221
1.0
4.7927 0.0000 0.0000
0.0000 4.7927 0.0000
0.0000 0.0000 4.7927
K Co Pt
1 3 1
Direct
0.0000 0.0000 0.0000
0.0000 0.5000 0.5000
0.5000 0.0000 0.5000
0.5000 0.5000 0.0000
0.5000 0.5000 0.5000

=====

Number 1: energy of formation 0.4409 eV per atom. Number 2: energy of formation 0.6002 eV per atom. Number 3: energy of formation 0.1367 eV per atom. Number 4: energy of formation 0.9816 eV per atom.